# 1
# GaCu4 PBE optimized geometry
# Size of the total moment in μB per atom: 0.00
# Formation enthalpy at 0 K in eV/atom: 0.773
# Electronic total energy in eV/atom: -3.11
data_GaCu4
_chemical_formula_sum 'Ga1 Cu4'
_space_group_name_H-M_alt 'P m -3 m'
_space_group_IT_number 221
_space_group_name_Hall '-P 4 2 3'
_cell_length_a 4.436
_cell_length_b 4.436
_cell_length_c 4.436
_cell_angle_alpha 90.00
_cell_angle_beta 90.00
_cell_angle_gamma 90.00
loop_
_atom_site_label
_atom_site_fract_x
_atom_site_fract_y
_atom_site_fract_z
_atom_site_occupancy
Ga1 0.000 0.000 0.000 1
Cu1 0.000 0.000 0.500 1
Cu2 0.500 0.500 0.500 1

# 2
# GaCu3 PBE optimized geometry
# Size of the total moment in μB per atom: 0.00
# Formation enthalpy at 0 K in eV/atom: -0.102
# Electronic total energy in eV/atom: -3.93
data_GaCu3
_chemical_formula_sum 'Ga2 Cu6'
_space_group_name_H-M_alt 'C 1 2/m 1'
_space_group_IT_number 12
_cell_length_a 8.289
_cell_length_b 3.689
_cell_length_c 3.689
_cell_angle_alpha 90.00
_cell_angle_beta 116.26
_cell_angle_gamma 90.00
loop_
_space_group_symop_operation_xyz
'x,y,z'
'-x,-y,-z'
'-x,y,-z'
'x,-y,z'
'x+1/2,y+1/2,z'
'-x+1/2,-y+1/2,-z'
'-x+1/2,y+1/2,-z'
'x+1/2,-y+1/2,z'
loop_
_atom_site_label
_atom_site_fract_x
_atom_site_fract_y
_atom_site_fract_z
_atom_site_occupancy
Ga1 0.000 0.000 0.000 1
Cu1 0.000 0.500 0.500 1
Cu2 0.250 0.000 0.750 1

# 3
# GaCu3 PBE optimized geometry
# Size of the total moment in μB per atom: 0.00
# Formation enthalpy at 0 K in eV/atom: -0.077
# Electronic total energy in eV/atom: -3.91
data_GaCu3
_chemical_formula_sum 'Ga2 Cu6'
_space_group_name_H-M_alt 'I m m 2'
_space_group_IT_number 44
_cell_length_a 2.709
_cell_length_b 8.439
_cell_length_c 4.451
_cell_angle_alpha 90.00
_cell_angle_beta 90.00
_cell_angle_gamma 90.00
loop_
_space_group_symop_operation_xyz
'x,y,z'
'-x,-y,z'
'-x,y,z'
'x,-y,z'
'x+1/2,y+1/2,z+1/2'
'-x+1/2,-y+1/2,z+1/2'
'-x+1/2,y+1/2,z+1/2'
'x+1/2,-y+1/2,z+1/2'
loop_
_atom_site_label
_atom_site_fract_x
_atom_site_fract_y
_atom_site_fract_z
_atom_site_occupancy
Ga1 0.000 0.000 0.000 1
Cu1 0.000 0.249 0.645 1
Cu2 0.000 0.500 0.997 1

# 4
# Ga3Cu5 PBE optimized geometry
# Size of the total moment in μB per atom: 0.00
# Formation enthalpy at 0 K in eV/atom: -0.072
# Electronic total energy in eV/atom: -3.77
data_Ga3Cu5
_chemical_formula_sum 'Ga12 Cu20'
_space_group_name_H-M_alt 'C m c m'
_space_group_IT_number 63
_space_group_name_Hall '-C 2c 2'
_cell_length_a 8.331
_cell_length_b 6.176
_cell_length_c 8.244
_cell_angle_alpha 90.00
_cell_angle_beta 90.00
_cell_angle_gamma 90.00
loop_
_atom_site_label
_atom_site_fract_x
_atom_site_fract_y
_atom_site_fract_z
_atom_site_occupancy
Ga1 0.000 0.051 0.250 1
Ga2 0.223 0.500 0.000 1
Cu1 0.000 0.219 0.524 1
Cu2 0.000 0.471 0.250 1
Cu3 0.228 0.241 0.750 1

# 5
# Ga2Cu13 PBE optimized geometry
# Size of the total moment in μB per atom: 0.00
# Formation enthalpy at 0 K in eV/atom: 0.245
# Electronic total energy in eV/atom: -3.71
data_Ga2Cu13
_chemical_formula_sum 'Ga6 Cu39'
_space_group_name_H-M_alt 'R -3 m'
_space_group_IT_number 166
_space_group_name_Hall '-R 3 2"'
_cell_length_a 6.5113
_cell_length_b 6.5113
_cell_length_c 18.3773
_cell_angle_alpha 90.00
_cell_angle_beta 90.00
_cell_angle_gamma 120.00
loop_
_atom_site_label
_atom_site_fract_x
_atom_site_fract_y
_atom_site_fract_z
_atom_site_occupancy
Ga1 0.0000 0.0000 0.1326 1
Cu1 0.0000 0.0000 0.0000 1
Cu2 0.0783 0.5392 0.4254 1
Cu3 0.0828 0.5414 0.2913 1

# 6
# Ga2Cu17 PBE optimized geometry
# Size of the total moment in μB per atom: 0.00
# Formation enthalpy at 0 K in eV/atom: 0.108
# Electronic total energy in eV/atom: -3.88
data_Ga2Cu17
_chemical_formula_sum 'Ga6 Cu51'
_space_group_name_H-M_alt 'R -3 m'
_space_group_IT_number 166
_space_group_name_Hall '-R 3 2"'
_cell_length_a 8.2955
_cell_length_b 8.2955
_cell_length_c 12.6139
_cell_angle_alpha 90.00
_cell_angle_beta 90.00
_cell_angle_gamma 120.00
loop_
_atom_site_label
_atom_site_fract_x
_atom_site_fract_y
_atom_site_fract_z
_atom_site_occupancy
Ga1 0.0000 0.0000 0.1410 1
Cu1 0.0000 0.0000 0.4030 1
Cu2 0.0000 0.3179 0.5000 1
Cu3 0.0000 0.5000 0.0000 1
Cu4 0.0027 0.5014 0.6599 1

# 7
# Ga4Cu9 PBE optimized geometry
# Size of the total moment in μB per atom: 0.00
# Formation enthalpy at 0 K in eV/atom: -0.113
# Electronic total energy in eV/atom: -3.88
data_Ga4Cu9
_chemical_formula_sum 'Ga16 Cu36'
_space_group_name_H-M_alt 'P -4 3 m'
_space_group_IT_number 215
_space_group_name_Hall 'P -4 2 3'
_cell_length_a 8.774
_cell_length_b 8.774
_cell_length_c 8.774
_cell_angle_alpha 90.00
_cell_angle_beta 90.00
_cell_angle_gamma 90.00
loop_
_atom_site_label
_atom_site_fract_x
_atom_site_fract_y
_atom_site_fract_z
_atom_site_occupancy
Ga1 0.034 0.309 0.309 1
Ga2 0.377 0.377 0.623 1
Cu1 0.000 0.000 0.356 1
Cu2 0.105 0.105 0.105 1
Cu3 0.144 0.500 0.500 1
Cu4 0.174 0.174 0.826 1
Cu5 0.183 0.183 0.529 1
Cu6 0.330 0.330 0.330 1

# 8
# Ga3Cu8 PBE optimized geometry
# Size of the total moment in μB per atom: 0.00
# Formation enthalpy at 0 K in eV/atom: -0.100
# Electronic total energy in eV/atom: -3.90
data_Ga3Cu8
_chemical_formula_sum 'Ga6 Cu16'
_space_group_name_H-M_alt 'C 1 2/m 1'
_space_group_IT_number 12
_cell_length_a 8.303
_cell_length_b 3.707
_cell_length_c 9.395
_cell_angle_alpha 90.00
_cell_angle_beta 104.32
_cell_angle_gamma 90.00
loop_
_space_group_symop_operation_xyz
'x,y,z'
'-x,-y,-z'
'-x,y,-z'
'x,-y,z'
'x+1/2,y+1/2,z'
'-x+1/2,-y+1/2,-z'
'-x+1/2,y+1/2,-z'
'x+1/2,-y+1/2,z'
loop_
_atom_site_label
_atom_site_fract_x
_atom_site_fract_y
_atom_site_fract_z
_atom_site_occupancy
Ga1 0.000 0.000 0.000 1
Ga2 0.099 0.000 0.643 1
Cu1 0.046 0.500 0.818 1
Cu2 0.134 0.500 0.453 1
Cu3 0.179 0.000 0.272 1
Cu4 0.224 0.500 0.088 1